Here is a relaxed structure of Zr2AgP from Alexandria. Energies are from PBE.

```
Zr2AgP
1.0
7.377 0.000 0.000
0.000 7.377 0.000
3.688 3.688 2.980
Ag Zr P
2 4 2
direct
0.750 0.250 0.500 Ag
0.000 0.000 0.000 Ag
0.875 0.845 0.750 Zr
0.595 0.125 0.250 Zr
0.155 0.625 0.250 Zr
0.375 0.405 0.750 Zr
0.250 0.750 0.500 P
0.500 0.500 0.000 P
```

E = -0.4879 Ry per atom
Energy relative to the elements = -1.20 eV per formula unit
SG = I-42d, No. 122
Spin magnetization = 0.00 μB per formula unit